[1]
DFT (PBE) results for a relaxed BaCdRe2 crystal.

Cell: 2.854 5.288 11.187 Å, 90.00 90.00 90.00°
Space group Immm (No. 71)
One atom of each set of equivalent atoms:
Ba 0.000 0.000 0.000 [2 per cell]
Cd 0.000 0.000 0.500 [2 per cell]
Re 0.000 0.500 0.227 [4 per cell]

Values from the calculation:
Formation energy: 1298.0 meV/atom
M_tot: 0.00 Bohr magnetons per cell
Electronic total energy: -5.636 eV per atom


[2]
DFT (PBE) results for a relaxed NdTe2Pd crystal.

Cell: 6.080 7.959 17.568 Å, 90.00 90.00 90.00°
Space group Fmmm (No. 69)
One atom of each set of equivalent atoms:
Nd 0.000 0.000 0.127 [8 per cell]
Te 0.000 0.000 0.322 [8 per cell]
Te 0.250 0.250 0.000 [8 per cell]
Pd 0.250 0.250 0.250 [8 per cell]

Values from the calculation:
ΔE_f (raw): -964 meV/atom
M_tot: 0.00 Bohr magnetons per cell
Electronic total energy: -5.025 eV per atom
Relative energy among the computed polymorphs: 0.00 eV per formula unit


[3]
DFT (PBE) results for a relaxed Ba3LiIn3 crystal.

Cell: 12.161 5.412 16.981 Å, 90.00 107.96 90.00°
Space group C2/m (No. 12)
One atom of each set of equivalent atoms:
Ba 0.028 0.000 0.268 [4 per cell]
Ba 0.158 0.500 0.120 [4 per cell]
Ba 0.179 0.000 0.573 [4 per cell]
Li 0.167 0.500 0.910 [4 per cell]
In 0.021 0.500 0.418 [4 per cell]
In 0.088 0.000 0.957 [4 per cell]
In 0.176 0.500 0.736 [4 per cell]

Values from the calculation:
Formation energy: -341.0 meV/atom
M_tot: 0.00 Bohr magnetons per cell
Electronic total energy: -2.612 eV per atom